A plane-wave DFT calculation with PBE was carried out for Sm5DyY3 after structural relaxation.

Structure (extended XYZ):
```
18
Lattice="7.631 -5.815 0.000 7.631 5.815 0.000 -6.355 0.000 7.642" Properties=species:S:1:pos:R:3 pbc="T T T"
Sm 3.718 2.930 1.943
Sm 1.970 0.000 1.806
Sm 7.631 2.952 0.000
Sm -1.861 0.000 7.297
Sm 5.190 2.930 5.699
Sm 3.718 -2.930 1.943
Sm 10.769 0.000 0.345
Sm 7.631 -2.952 0.000
Sm 6.938 0.000 5.836
Sm 5.190 -2.930 5.699
Dy 0.013 0.000 4.538
Dy 8.895 0.000 3.104
Y -3.177 0.000 3.821
Y -5.104 0.000 6.300
Y 3.283 0.000 4.932
Y 7.631 0.000 0.000
Y 5.625 0.000 2.710
Y 14.011 0.000 1.342
```

formation enthalpy at 0 K	0.505	eV per atom
DFT total energy	-86.1	eV for the cell shown
Fermi-level density of states	27.8	states/eV per cell
SG	C2/m (12)
distance to the lowest polymorph of the same formula	337	meV/atom